#a
Sc5Os3 | PBE | optimized geometry

Lattice parameters (Å, degrees): 3.2508 3.2508 14.4632 90.00 90.00 90.00
Closest atoms and distances in Å follow each position.
Sites, in units of the cell vectors:
1 Sc 0.0000 0.0000 0.0000  8 Os 2.84, 2 Sc 3.10
2 Sc 0.0000 0.0000 0.2142  4 Os 2.71
3 Sc 0.0000 0.0000 0.7858  4 Os 2.71
4 Sc 0.5000 0.5000 0.3942  4 Os 2.76, 1 Sc 3.06
5 Sc 0.5000 0.5000 0.6058  4 Os 2.76, 1 Sc 3.06
6 Os 0.0000 0.0000 0.5000  8 Sc 2.76
7 Os 0.5000 0.5000 0.1152  8 Sc 2.71-2.84
8 Os 0.5000 0.5000 0.8848  8 Sc 2.71-2.84

Properties
Space group: P4/mmm (123)
Crystal system: tetragonal



#b
Sc5Os3 | PBE | optimized geometry

Lattice parameters (Å, degrees): 5.7729 5.7729 4.5141 90.00 90.00 108.22
Closest atoms and distances in Å follow each position.
Sites, in units of the cell vectors:
1 Sc 0.0000 0.0000 0.0000  8 Sc 2.89-2.93, 4 Os 3.13
2 Sc 0.0000 0.5000 0.0000  6 Os 2.83-2.89, 2 Sc 2.89
3 Sc 0.2770 0.2770 0.5000  6 Os 2.72-2.93, 3 Sc 2.93-3.02
4 Sc 0.5000 0.0000 0.0000  6 Os 2.83-2.89, 2 Sc 2.89
5 Sc 0.7230 0.7230 0.5000  6 Os 2.72-2.93, 3 Sc 2.93-3.02
6 Os 0.2317 0.7683 0.5000  10 Sc 2.83-3.13
7 Os 0.5000 0.5000 0.0000  8 Sc 2.72-2.89
8 Os 0.7683 0.2317 0.5000  10 Sc 2.83-3.13

Properties
Space group: Cmmm (65)
Crystal system: orthorhombic



Energies in meV/atom, measured from the most stable structure: #a 0; #b 103.



#a
Sc3Os2 | PBE | optimized geometry

Lattice parameters (Å, degrees): 8.3531 7.3968 5.4826 79.34 60.49 40.17
Closest atoms and distances in Å follow each position.
Sites, in units of the cell vectors:
1 Sc 0.0150 0.0150 0.2350  3 Os 2.62-2.86, 2 Sc 2.77
2 Sc 0.2350 0.2350 0.0150  3 Os 2.62-2.86, 2 Sc 2.77
3 Sc 0.3750 0.3750 0.3750  6 Os 2.74-2.83
4 Sc 0.6250 0.6250 0.6250  6 Os 2.74-2.83
5 Sc 0.7650 0.7650 0.9850  3 Os 2.62-2.86, 2 Sc 2.77
6 Sc 0.9850 0.9850 0.7650  3 Os 2.62-2.86, 2 Sc 2.77
7 Os 0.1756 0.1756 0.5744  6 Sc 2.62-2.86
8 Os 0.4256 0.4256 0.8244  6 Sc 2.62-2.86
9 Os 0.5744 0.5744 0.1756  6 Sc 2.62-2.86
10 Os 0.8244 0.8244 0.4256  6 Sc 2.62-2.86

Properties
Space group: Fddd (70)
Crystal system: orthorhombic



#b
Sc3Os2 | PBE | optimized geometry

Lattice parameters (Å, degrees): 4.5449 4.5449 5.4876 90.00 90.00 120.00
Closest atoms and distances in Å follow each position.
Sites, in units of the cell vectors:
1 Sc 0.0000 0.0000 0.0000  6 Os 2.75
2 Sc 0.3333 0.6667 0.3475  5 Os 2.74-2.83
3 Sc 0.6667 0.3333 0.6525  5 Os 2.74-2.83
4 Os 0.3333 0.6667 0.8473  8 Sc 2.74-2.83
5 Os 0.6667 0.3333 0.1527  8 Sc 2.74-2.83

Properties
Space group: P-3m1 (164)
Crystal system: trigonal



#c
Sc3Os2 | PBE | optimized geometry

Lattice parameters (Å, degrees): 11.3449 11.3449 11.3449 15.75 15.75 15.75
Closest atoms and distances in Å follow each position.
Sites, in units of the cell vectors:
1 Sc 0.0000 0.0000 0.0000  6 Os 2.78, 6 Sc 3.11
2 Sc 0.2110 0.2110 0.2110  3 Os 2.68
3 Sc 0.7890 0.7890 0.7890  3 Os 2.68
4 Os 0.3965 0.3965 0.3965  6 Sc 2.68-2.78
5 Os 0.6035 0.6035 0.6035  6 Sc 2.68-2.78

Properties
Space group: R-3m (166)
Crystal system: trigonal



Energies in meV/atom, measured from the most stable structure: #a 62; #b 0; #c 215.